No. 1
The following is a PBE-GGA calculation of Sr2Ac4Ir after structural relaxation, from the Alexandria database.

```
data_Sr2Ac4Ir
_symmetry_space_group_name_H-M 'P 1'
_symmetry_Int_Tables_number 1
_cell_length_a 5.9113
_cell_length_b 5.9113
_cell_length_c 10.8469
_cell_angle_alpha 74.19
_cell_angle_beta 74.19
_cell_angle_gamma 90.00
loop_
_symmetry_equiv_pos_as_xyz
'x,y,z'
loop_
_atom_site_label
_atom_site_type_symbol
_atom_site_fract_x
_atom_site_fract_y
_atom_site_fract_z
_atom_site_occupancy
Sr1 Sr 0.6544 0.6544 0.6912 1
Sr2 Sr 0.3456 0.3456 0.3088 1
Ac1 Ac 0.8542 0.8542 0.2915 1
Ac2 Ac 0.1458 0.1458 0.7085 1
Ac3 Ac 0.0000 0.5000 0.0000 1
Ac4 Ac 0.5000 0.0000 0.0000 1
Ir1 Ir 0.0000 0.0000 0.0000 1
```

Calculated values
Its space group is I4/mmm, No. 139. Its volume is 349.8 Å³ per cell. The calculation puts the energy of formation from the pure elements at -58.3 meV per atom.

=====

No. 2
The following is a PBE-GGA calculation of Sr2Ac2Ir after structural relaxation, from the Alexandria database.

```
data_Sr2Ac2Ir
_symmetry_space_group_name_H-M 'P 1'
_symmetry_Int_Tables_number 1
_cell_length_a 4.3826
_cell_length_b 4.3826
_cell_length_c 13.9117
_cell_angle_alpha 80.94
_cell_angle_beta 80.93
_cell_angle_gamma 60.00
loop_
_symmetry_equiv_pos_as_xyz
'x,y,z'
loop_
_atom_site_label
_atom_site_type_symbol
_atom_site_fract_x
_atom_site_fract_y
_atom_site_fract_z
_atom_site_occupancy
Sr1 Sr 0.8747 0.8747 0.3759 1
Sr2 Sr 0.1253 0.1253 0.6241 1
Ac1 Ac 0.6285 0.6285 0.1145 1
Ac2 Ac 0.3715 0.3715 0.8855 1
Ir1 Ir 0.0000 0.0000 0.0000 1
```

Calculated values
Its space group is R-3m, No. 166. Its volume is 227.5 Å³ per cell. The calculation puts the energy of formation from the pure elements at -348.7 meV per atom.